Record 1
PrAlCu: optimized geometry, PBE-GGA.

```
3
Lattice="-2.884 -0.968 -1.213 1.500 -1.077 -2.705 1.394 -4.119 4.394" Properties=species:S:1:pos:R:3 pbc="T T T"
Cu 0.425 -3.117 1.476
Pr 0.004 -6.125 0.457
Al -0.410 -3.085 -0.982
```

Results
ΔE_f	-0.1682	eV per atom
density of states at the Fermi level	2.811	states/eV per cell
volume	20.5	Å³ per atom

Record 2
NdLuSe3: optimized geometry, PBE-GGA.

```
10
Lattice="-4.959 -2.847 -3.794 6.489 2.232 0.118 3.067 -9.061 2.791" Properties=species:S:1:pos:R:3 pbc="T T T"
Se 0.847 -6.129 -0.830
Se 3.749 -3.547 -0.055
Se 6.265 -0.472 0.477
Se -1.670 -9.204 -1.362
Se 2.596 -0.142 -1.104
Se 1.999 -9.534 0.219
Nd -1.311 -3.834 -2.112
Nd 5.907 -5.842 1.227
Lu 0.000 0.000 0.000
Lu 1.533 -4.530 1.396
```

Results
ΔE_f (raw)	-1.877	eV per atom
volume	26.3	Å³ per atom

Record 3
Nb2TcNi2: optimized geometry, PBE-GGA.

```
10
Lattice="-6.217 -2.508 -0.084 2.473 -6.162 0.932 -0.207 0.406 3.230" Properties=species:S:1:pos:R:3 pbc="T T T"
Nb -1.656 -1.705 1.755
Nb 0.462 -4.430 2.233
Nb -2.295 -6.559 2.323
Nb -4.414 -3.834 1.845
Ni -0.179 -6.358 0.787
Ni 0.176 -2.635 0.342
Ni -3.565 -2.312 0.061
Ni -3.920 -6.035 0.506
Tc -1.872 -4.335 0.424
Tc 0.000 0.000 0.000
```

Results
ΔE_f	-0.1042	eV per atom
density of states at the Fermi level	12.078	states/eV per cell
volume	14.7	Å³ per atom